Record 1
First-principles (GGA-PBE) data for HgPbS3 after structural relaxation, as listed in Alexandria.

```
data_HgPbS3
_chemical_formula_sum 'Hg1 Pb1 S3'
_space_group_name_H-M_alt 'P 1'
_space_group_IT_number 1
_space_group_name_Hall 'P 1'
_cell_length_a 5.0110
_cell_length_b 5.0110
_cell_length_c 5.0110
_cell_angle_alpha 90.00
_cell_angle_beta 90.00
_cell_angle_gamma 90.00
loop_
_atom_site_label
_atom_site_type_symbol
_atom_site_fract_x
_atom_site_fract_y
_atom_site_fract_z
S1 S 0.0000 0.5000 0.0000
S2 S 0.0000 0.0000 0.5000
S3 S 0.5000 0.0000 0.0000
Hg1 Hg 0.0000 0.0000 0.0000
Pb1 Pb 0.5000 0.5000 0.5000
```

The value obtained for the energy relative to the elements, uncorrected is 373 meV/atom. Its energy above the most stable polymorph in this dataset is 0.000 eV per atom. The calculated total energy comes out at -2.9053 eV per atom. As for the symmetry: No. 221.

---

Record 2
First-principles (GGA-PBE) data for AcSmTl after structural relaxation, as listed in Alexandria.

```
data_AcSmTl
_chemical_formula_sum 'Ac1 Sm1 Tl1'
_space_group_name_H-M_alt 'P 1'
_space_group_IT_number 1
_space_group_name_Hall 'P 1'
_cell_length_a 4.0400
_cell_length_b 5.5056
_cell_length_c 5.5056
_cell_angle_alpha 120.00
_cell_angle_beta 90.00
_cell_angle_gamma 90.00
loop_
_atom_site_label
_atom_site_type_symbol
_atom_site_fract_x
_atom_site_fract_y
_atom_site_fract_z
Tl1 Tl 0.8006 0.6667 0.3333
Ac1 Ac 0.3406 0.3333 0.6667
Sm1 Sm 0.8588 0.0000 0.0000
```

Its energy above the most stable polymorph in this dataset is 0.096 eV per atom. The calculated total energy comes out at -3.8874 eV per atom. The formation energy is -156 meV/atom. As for the symmetry: No. 156.

---

Record 3
First-principles (GGA-PBE) data for Al3C5 after structural relaxation, as listed in Alexandria.

```
data_Al3C5
_chemical_formula_sum 'Al6 C10'
_space_group_name_H-M_alt 'P 1'
_space_group_IT_number 1
_space_group_name_Hall 'P 1'
_cell_length_a 8.6672
_cell_length_b 7.7775
_cell_length_c 5.5985
_cell_angle_alpha 78.94
_cell_angle_beta 64.98
_cell_angle_gamma 39.34
loop_
_atom_site_label
_atom_site_type_symbol
_atom_site_fract_x
_atom_site_fract_y
_atom_site_fract_z
C1 C 0.5450 0.4371 0.8196
C2 C 0.6845 0.6140 0.1892
C3 C 0.6804 0.3016 0.9550
C4 C 0.8200 0.6694 0.9662
C5 C 0.0322 0.9940 0.3338
C6 C 0.7286 0.8359 0.7714
C7 C 0.2205 0.2971 0.2795
C8 C 0.3108 0.9877 0.8155
C9 C 0.1662 0.8599 0.4678
C10 C 0.5338 0.9556 0.6800
Al1 Al 0.5227 0.1849 0.9773
Al2 Al 0.4357 0.7048 0.5787
Al3 Al 0.2011 0.3126 0.6335
Al4 Al 0.9213 0.2192 0.0643
Al5 Al 0.3306 0.9725 0.1694
Al6 Al 0.8665 0.6472 0.2989
```

Its energy above the most stable polymorph in this dataset is 0.047 eV per atom. The calculated total energy comes out at -6.5399 eV per atom. The formation energy is 628 meV/atom. As for the symmetry: No. 8.

---

Record 4
First-principles (GGA-PBE) data for Cd2CuPd4 after structural relaxation, as listed in Alexandria.

```
data_Cd2CuPd4
_chemical_formula_sum 'Cd4 Cu2 Pd8'
_space_group_name_H-M_alt 'P 1'
_space_group_IT_number 1
_space_group_name_Hall 'P 1'
_cell_length_a 6.7148
_cell_length_b 5.5425
_cell_length_c 7.1888
_cell_angle_alpha 90.00
_cell_angle_beta 118.51
_cell_angle_gamma 90.00
loop_
_atom_site_label
_atom_site_type_symbol
_atom_site_fract_x
_atom_site_fract_y
_atom_site_fract_z
Cu1 Cu 0.7002 0.2500 0.6510
Cu2 Cu 0.2998 0.7500 0.3490
Cd1 Cd 0.2749 0.2500 0.3578
Cd2 Cd 0.7251 0.7500 0.6422
Cd3 Cd 0.1727 0.2500 0.9276
Cd4 Cd 0.8273 0.7500 0.0724
Pd1 Pd 0.0239 0.7500 0.4992
Pd2 Pd 0.4207 0.9981 0.7533
Pd3 Pd 0.5793 0.0019 0.2467
Pd4 Pd 0.8135 0.2500 0.0514
Pd5 Pd 0.5793 0.4981 0.2467
Pd6 Pd 0.4207 0.5019 0.7533
Pd7 Pd 0.9761 0.2500 0.5008
Pd8 Pd 0.1865 0.7500 0.9486
```

Its energy above the most stable polymorph in this dataset is 0.000 eV per atom. The calculated total energy comes out at -3.9623 eV per atom. The formation energy is -148 meV/atom. As for the symmetry: No. 11.

---

Record 5
First-principles (GGA-PBE) data for LaPr3Rh after structural relaxation, as listed in Alexandria.

```
data_LaPr3Rh
_chemical_formula_sum 'La1 Pr3 Rh1'
_space_group_name_H-M_alt 'P 1'
_space_group_IT_number 1
_space_group_name_Hall 'P 1'
_cell_length_a 5.6562
_cell_length_b 5.6562
_cell_length_c 5.6562
_cell_angle_alpha 90.00
_cell_angle_beta 90.00
_cell_angle_gamma 90.00
loop_
_atom_site_label
_atom_site_type_symbol
_atom_site_fract_x
_atom_site_fract_y
_atom_site_fract_z
Pr1 Pr 0.0000 0.5000 0.0000
Pr2 Pr 0.0000 0.0000 0.5000
Pr3 Pr 0.5000 0.0000 0.0000
La1 La 0.5000 0.5000 0.5000
Rh1 Rh 0.0000 0.0000 0.0000
```

Its energy above the most stable polymorph in this dataset is 0.114 eV per atom. The calculated total energy comes out at -5.4608 eV per atom. The formation energy is -137 meV/atom. As for the symmetry: No. 221.

---

Record 6
First-principles (GGA-PBE) data for Zn5CuAg8 after structural relaxation, as listed in Alexandria.

```
data_Zn5CuAg8
_chemical_formula_sum 'Zn5 Cu1 Ag8'
_space_group_name_H-M_alt 'P 1'
_space_group_IT_number 1
_space_group_name_Hall 'P 1'
_cell_length_a 6.8003
_cell_length_b 6.8003
_cell_length_c 6.8003
_cell_angle_alpha 110.48
_cell_angle_beta 107.47
_cell_angle_gamma 110.48
loop_
_atom_site_label
_atom_site_type_symbol
_atom_site_fract_x
_atom_site_fract_y
_atom_site_fract_z
Zn1 Zn 0.8785 0.9053 0.2041
Zn2 Zn 0.2987 0.0947 0.9731
Zn3 Zn 0.5000 0.0000 0.5000
Zn4 Zn 0.7959 0.6744 0.7013
Zn5 Zn 0.0269 0.3256 0.1215
Ag1 Ag 0.5118 0.6019 0.2497
Ag2 Ag 0.5771 0.9143 0.8537
Ag3 Ag 0.3372 0.2766 0.4229
Ag4 Ag 0.9394 0.0857 0.6628
Ag5 Ag 0.6478 0.3981 0.9098
Ag6 Ag 0.1463 0.7234 0.0606
Ag7 Ag 0.0902 0.7380 0.4882
Ag8 Ag 0.7503 0.2620 0.3522
Cu1 Cu 0.2500 0.5000 0.7500
```

The calculated total energy comes out at -2.2892 eV per atom. The formation energy is 88 meV/atom. As for the symmetry: No. 82.

---

Please write out number 3 again, unchanged.
First-principles (GGA-PBE) data for Al3C5 after structural relaxation, as listed in Alexandria.

```
data_Al3C5
_chemical_formula_sum 'Al6 C10'
_space_group_name_H-M_alt 'P 1'
_space_group_IT_number 1
_space_group_name_Hall 'P 1'
_cell_length_a 8.6672
_cell_length_b 7.7775
_cell_length_c 5.5985
_cell_angle_alpha 78.94
_cell_angle_beta 64.98
_cell_angle_gamma 39.34
loop_
_atom_site_label
_atom_site_type_symbol
_atom_site_fract_x
_atom_site_fract_y
_atom_site_fract_z
C1 C 0.5450 0.4371 0.8196
C2 C 0.6845 0.6140 0.1892
C3 C 0.6804 0.3016 0.9550
C4 C 0.8200 0.6694 0.9662
C5 C 0.0322 0.9940 0.3338
C6 C 0.7286 0.8359 0.7714
C7 C 0.2205 0.2971 0.2795
C8 C 0.3108 0.9877 0.8155
C9 C 0.1662 0.8599 0.4678
C10 C 0.5338 0.9556 0.6800
Al1 Al 0.5227 0.1849 0.9773
Al2 Al 0.4357 0.7048 0.5787
Al3 Al 0.2011 0.3126 0.6335
Al4 Al 0.9213 0.2192 0.0643
Al5 Al 0.3306 0.9725 0.1694
Al6 Al 0.8665 0.6472 0.2989
```

Its energy above the most stable polymorph in this dataset is 0.047 eV per atom. The calculated total energy comes out at -6.5399 eV per atom. The formation energy is 628 meV/atom. As for the symmetry: No. 8.

---

Please write out number 3 again, unchanged.
First-principles (GGA-PBE) data for Al3C5 after structural relaxation, as listed in Alexandria.

```
data_Al3C5
_chemical_formula_sum 'Al6 C10'
_space_group_name_H-M_alt 'P 1'
_space_group_IT_number 1
_space_group_name_Hall 'P 1'
_cell_length_a 8.6672
_cell_length_b 7.7775
_cell_length_c 5.5985
_cell_angle_alpha 78.94
_cell_angle_beta 64.98
_cell_angle_gamma 39.34
loop_
_atom_site_label
_atom_site_type_symbol
_atom_site_fract_x
_atom_site_fract_y
_atom_site_fract_z
C1 C 0.5450 0.4371 0.8196
C2 C 0.6845 0.6140 0.1892
C3 C 0.6804 0.3016 0.9550
C4 C 0.8200 0.6694 0.9662
C5 C 0.0322 0.9940 0.3338
C6 C 0.7286 0.8359 0.7714
C7 C 0.2205 0.2971 0.2795
C8 C 0.3108 0.9877 0.8155
C9 C 0.1662 0.8599 0.4678
C10 C 0.5338 0.9556 0.6800
Al1 Al 0.5227 0.1849 0.9773
Al2 Al 0.4357 0.7048 0.5787
Al3 Al 0.2011 0.3126 0.6335
Al4 Al 0.9213 0.2192 0.0643
Al5 Al 0.3306 0.9725 0.1694
Al6 Al 0.8665 0.6472 0.2989
```

Its energy above the most stable polymorph in this dataset is 0.047 eV per atom. The calculated total energy comes out at -6.5399 eV per atom. The formation energy is 628 meV/atom. As for the symmetry: No. 8.